No. 1
A relaxed structure of KNdMoN3, computed with PBE.

abc: 7.230 7.230 8.011
angles: 104.49 104.49 31.54
Atoms (fractional coordinates):
K1 0.144 0.144 0.069
K2 0.856 0.856 0.931
Nd1 0.163 0.163 0.594
Nd2 0.837 0.837 0.406
Mo1 0.493 0.493 0.677
Mo2 0.507 0.507 0.323
N1 0.012 0.012 0.345
N2 0.344 0.344 0.642
N3 0.369 0.369 0.209
N4 0.631 0.631 0.791
N5 0.656 0.656 0.358
N6 0.988 0.988 0.655

Output
* DFT total energy: -89.35 eV for the cell shown
* Fermi-level density of states: 0.09 states/eV per cell
* formation energy from raw total energies: -0.500 eV per atom


No. 2
A relaxed structure of K2NpMoN4, computed with PBE.

abc: 7.106 7.442 6.018
angles: 90.00 90.00 90.00
Atoms (fractional coordinates):
K1 0.250 0.157 0.000
K2 0.250 0.843 0.500
K3 0.750 0.157 0.000
K4 0.750 0.843 0.500
Np1 0.000 0.363 0.483
Np2 0.500 0.637 0.983
Mo1 0.000 0.649 0.975
Mo2 0.500 0.351 0.475
N1 0.000 0.430 0.134
N2 0.000 0.606 0.670
N3 0.228 0.776 0.034
N4 0.272 0.224 0.534
N5 0.500 0.394 0.170
N6 0.500 0.570 0.634
N7 0.728 0.224 0.534
N8 0.772 0.776 0.034

Output
* DFT total energy: -125.96 eV for the cell shown
* Fermi-level density of states: 18.73 states/eV per cell
* formation energy from raw total energies: -0.464 eV per atom


No. 3
A relaxed structure of KNpMoN3, computed with PBE.

abc: 6.947 6.947 7.624
angles: 102.41 102.41 32.30
Atoms (fractional coordinates):
K1 0.140 0.140 0.062
K2 0.860 0.860 0.938
Np1 0.161 0.161 0.586
Np2 0.839 0.839 0.414
Mo1 0.495 0.495 0.658
Mo2 0.505 0.505 0.342
N1 0.008 0.008 0.312
N2 0.327 0.327 0.602
N3 0.346 0.346 0.250
N4 0.654 0.654 0.750
N5 0.673 0.673 0.398
N6 0.992 0.992 0.688

Output
* DFT total energy: -106.74 eV for the cell shown
* Fermi-level density of states: 12.45 states/eV per cell
* formation energy from raw total energies: -0.587 eV per atom